1.
First-principles (GGA-PBE) data for an optimized crystal structure of RePRh2S, as listed in the Alexandria database.

Cell: 4.370 4.377 4.370 Å, 90.00 90.00 90.00°
Element x y z (fractional)
Re 0.000 0.500 0.000
P 0.500 0.500 0.500
Rh 0.000 0.000 0.500
Rh 0.500 0.000 0.000
S 0.000 0.000 0.000

Computed properties:
For the calculated volume, the calculation gives 84 Å³/cell. Its space-group type is No. 123. The value obtained for the total energy is -6.575 eV per atom.



2.
First-principles (GGA-PBE) data for an optimized crystal structure of RePRhS2, as listed in the Alexandria database.

Cell: 4.607 4.607 4.475 Å, 90.00 90.00 90.00°
Site moments in Bohr magnetons follow the coordinates.
Element x y z (fractional)
P 0.000 0.000 0.500  -0.22
S 0.500 0.000 0.000  -0.15
S 0.000 0.500 0.000  -0.15
Re 0.500 0.500 0.500  2.93
Rh 0.000 0.000 0.000  -0.18

Computed properties:
For the calculated volume, the calculation gives 95 Å³/cell. For the excess energy over the best structure of this formula in the dataset, the calculation gives 407 meV per atom. Its space-group type is No. 123. The value obtained for the total energy is -5.425 eV per atom.



Number 1: formation energy from raw total energies 74 kJ/mol of atoms. Number 2: formation energy from raw total energies 122 kJ/mol of atoms.